Material: Mg2WAu
Method: DFT, GGA-PBE
State: relaxed

Calculated values
Excess energy over the best structure of this formula in the dataset = 9.112 kcal/mol of atoms
Crystal system = cubic
Fermi-level density of states = 5.93 states/eV per cell

CIF file:
```
data_Mg2WAu
_chemical_formula_sum 'Mg8 W4 Au4'
_cell_length_a 6.610
_cell_length_b 6.610
_cell_length_c 6.610
_cell_angle_alpha 90.00
_cell_angle_beta 90.00
_cell_angle_gamma 90.00
_symmetry_space_group_name_H-M 'F -4 3 m'
_symmetry_Int_Tables_number 216
_symmetry_space_group_name_Hall 'F -4 2 3'
loop_
_atom_site_label
_atom_site_fract_x
_atom_site_fract_y
_atom_site_fract_z
Mg1 0.000 0.000 0.000
Mg2 0.250 0.250 0.250
W1 0.000 0.000 0.500
Au1 0.250 0.250 0.750
```


Material: Mg2WAu
Method: DFT, GGA-PBE
State: relaxed

Calculated values
Excess energy over the best structure of this formula in the dataset = 8.846 kcal/mol of atoms
Crystal system = tetragonal
Fermi-level density of states = 6.48 states/eV per cell

CIF file:
```
data_Mg2WAu
_chemical_formula_sum 'Mg4 W2 Au2'
_cell_length_a 4.109
_cell_length_b 4.109
_cell_length_c 8.384
_cell_angle_alpha 90.00
_cell_angle_beta 90.00
_cell_angle_gamma 90.00
_symmetry_space_group_name_H-M 'I 4/m m m'
_symmetry_Int_Tables_number 139
_symmetry_space_group_name_Hall '-I 4 2'
loop_
_atom_site_label
_atom_site_fract_x
_atom_site_fract_y
_atom_site_fract_z
Mg1 0.000 0.500 0.250
W1 0.000 0.000 0.000
Au1 0.000 0.000 0.500
```


Material: Mg3WAu
Method: DFT, GGA-PBE
State: relaxed

Calculated values
Excess energy over the best structure of this formula in the dataset = 0.000 kcal/mol of atoms
Crystal system = cubic
Fermi-level density of states = 2.87 states/eV per cell

CIF file:
```
data_Mg3WAu
_chemical_formula_sum 'Mg3 W1 Au1'
_cell_length_a 4.980
_cell_length_b 4.980
_cell_length_c 4.980
_cell_angle_alpha 90.00
_cell_angle_beta 90.00
_cell_angle_gamma 90.00
_symmetry_space_group_name_H-M 'P m -3 m'
_symmetry_Int_Tables_number 221
_symmetry_space_group_name_Hall '-P 4 2 3'
loop_
_atom_site_label
_atom_site_fract_x
_atom_site_fract_y
_atom_site_fract_z
Mg1 0.000 0.000 0.500
W1 0.500 0.500 0.500
Au1 0.000 0.000 0.000
```


Material: MgW2Au
Method: DFT, GGA-PBE
State: relaxed

Calculated values
Crystal system = tetragonal
Final energy = -28.89 eV per cell
Fermi-level density of states = 1.51 states/eV per cell

CIF file:
```
data_MgW2Au
_chemical_formula_sum 'Mg1 W2 Au1'
_cell_length_a 2.741
_cell_length_b 2.741
_cell_length_c 9.014
_cell_angle_alpha 90.00
_cell_angle_beta 90.00
_cell_angle_gamma 90.00
_symmetry_space_group_name_H-M 'P 4/m m m'
_symmetry_Int_Tables_number 123
_symmetry_space_group_name_Hall '-P 4 2'
loop_
_atom_site_label
_atom_site_fract_x
_atom_site_fract_y
_atom_site_fract_z
Mg1 0.000 0.000 0.000
W1 0.500 0.500 0.253
Au1 0.000 0.000 0.500
```


Material: Mg4WAu
Method: DFT, GGA-PBE
State: relaxed

Calculated values
Crystal system = cubic
Final energy = -75.56 eV per cell
Fermi-level density of states = 20.09 states/eV per cell

CIF file:
```
data_Mg4WAu
_chemical_formula_sum 'Mg16 W4 Au4'
_cell_length_a 7.667
_cell_length_b 7.667
_cell_length_c 7.667
_cell_angle_alpha 90.00
_cell_angle_beta 90.00
_cell_angle_gamma 90.00
_symmetry_space_group_name_H-M 'F -4 3 m'
_symmetry_Int_Tables_number 216
_symmetry_space_group_name_Hall 'F -4 2 3'
loop_
_atom_site_label
_atom_site_fract_x
_atom_site_fract_y
_atom_site_fract_z
Mg1 0.124 0.124 0.124
W1 0.250 0.250 0.750
Au1 0.000 0.000 0.500
```


Material: MgW2Au
Method: DFT, GGA-PBE
State: relaxed

Calculated values
Crystal system = tetragonal
Final energy = -29.73 eV per cell
Fermi-level density of states = 1.96 states/eV per cell

CIF file:
```
data_MgW2Au
_chemical_formula_sum 'Mg1 W2 Au1'
_cell_length_a 3.792
_cell_length_b 3.792
_cell_length_c 4.628
_cell_angle_alpha 90.00
_cell_angle_beta 90.00
_cell_angle_gamma 90.00
_symmetry_space_group_name_H-M 'P 4/m m m'
_symmetry_Int_Tables_number 123
_symmetry_space_group_name_Hall '-P 4 2'
loop_
_atom_site_label
_atom_site_fract_x
_atom_site_fract_y
_atom_site_fract_z
Mg1 0.000 0.000 0.000
W1 0.000 0.500 0.500
Au1 0.500 0.500 0.000
```